# Li2MgMn3O6 PBE with a Hubbard U relaxed
# electronic total energy = -0.479 Ry/atom
# total magnetic moment = 17.98 μB/cell
# theoretical density = 4.33 Mg/m³
data_Li2MgMn3O6
_symmetry_space_group_name_H-M 'C 1 2/m 1'
_symmetry_Int_Tables_number 12
_cell_length_a 13.058
_cell_length_b 2.971
_cell_length_c 6.062
_cell_angle_alpha 90.00
_cell_angle_beta 102.92
_cell_angle_gamma 90.00
loop_
_symmetry_equiv_pos_as_xyz
'x,y,z'
'-x,-y,-z'
'-x,y,-z'
'x,-y,z'
'x+1/2,y+1/2,z'
'-x+1/2,-y+1/2,-z'
'-x+1/2,y+1/2,-z'
'x+1/2,-y+1/2,z'
loop_
_atom_site_label
_atom_site_type_symbol
_atom_site_fract_x
_atom_site_fract_y
_atom_site_fract_z
_atom_site_occupancy
Li1 Li 0.172 0.000 0.350 1
Mg1 Mg 0.000 0.500 0.000 1
Mn1 Mn 0.000 0.500 0.500 1
Mn2 Mn 0.170 0.000 0.835 1
O1 O 0.008 0.000 0.767 1
O2 O 0.170 0.500 0.062 1
O3 O 0.171 0.500 0.615 1